1.
Here is a geometry-optimized Tb2InS4 structure from Alexandria. Energies are from PBE.

- VASP energy: -78.2 eV/cell
- Offset from the most stable computed form: 0.0 kJ per mole of atoms
- E_form (uncorrected): -1.515 eV per atom
- Total magnetic moment: 0.0 μB/f.u.

abc: 6.974 11.711 3.925
angles: 90.00 90.00 90.00
Space group Pbam (No. 55)
Asymmetric unit:
Tb (0.073, 0.175, 0.000) (multiplicity 4)
In (0.000, 0.500, 0.500) (multiplicity 2)
S (0.144, 0.713, 0.500) (multiplicity 4)
S (0.243, 0.962, 0.000) (multiplicity 4)


2.
Here is a geometry-optimized K2Er2PbO6 structure from Alexandria. Energies are from PBE.

- VASP energy: -139.9 eV/cell
- E_form (uncorrected): -2.289 eV per atom
- Total magnetic moment: 0.0 μB/f.u.

abc: 5.910 10.259 6.670
angles: 90.00 106.44 90.00
Space group C2/m (No. 12)
Asymmetric unit:
K (0.000, 0.165, 0.000) (multiplicity 4)
Er (0.000, 0.334, 0.500) (multiplicity 4)
Pb (0.000, 0.000, 0.500) (multiplicity 2)
O (0.220, 0.169, 0.678) (multiplicity 8)
O (0.235, 0.500, 0.677) (multiplicity 4)


3.
Here is a geometry-optimized KSnGe2S6 structure from Alexandria. Energies are from PBE.

- VASP energy: -171.8 eV/cell
- E_form (uncorrected): -0.384 eV per atom
- Total magnetic moment: 0.0 μB/f.u.

abc: 12.656 13.262 6.495
angles: 90.00 100.06 90.00
Space group C2/c (No. 15)
Asymmetric unit:
K (0.000, 0.100, 0.250) (multiplicity 4)
Sn (0.000, 0.273, 0.750) (multiplicity 4)
Ge (0.207, 0.418, 0.249) (multiplicity 8)
S (0.116, 0.103, 0.706) (multiplicity 8)
S (0.130, 0.280, 0.117) (multiplicity 8)
S (0.152, 0.436, 0.571) (multiplicity 8)


4.
Here is a geometry-optimized Ac6Bi2Sb3Te structure from Alexandria. Energies are from PBE.

- VASP energy: -125.2 eV/cell
- E_form (uncorrected): -1.223 eV per atom
- Total magnetic moment: 0.0 μB/f.u.

abc: 20.989 4.817 9.636
angles: 90.00 103.31 90.00
Space group C2/m (No. 12)
Asymmetric unit:
Ac (0.001, 0.000, 0.244) (multiplicity 4)
Ac (0.166, 0.500, 0.086) (multiplicity 4)
Ac (0.169, 0.500, 0.581) (multiplicity 4)
Bi (0.166, 0.000, 0.831) (multiplicity 4)
Sb (0.000, 0.500, 0.000) (multiplicity 2)
Sb (0.166, 0.000, 0.334) (multiplicity 4)
Te (0.000, 0.500, 0.500) (multiplicity 2)


5.
Here is a geometry-optimized Ti2BiS structure from Alexandria. Energies are from PBE.

- VASP energy: -99.6 eV/cell
- Offset from the most stable computed form: 45.1 kJ per mole of atoms
- E_form (uncorrected): -0.278 eV per atom
- Total magnetic moment: 0.0 μB/f.u.

abc: 6.653 6.653 6.653
angles: 90.00 90.00 90.00
Space group Fm-3m (No. 225)
Asymmetric unit:
Ti (0.250, 0.250, 0.250) (multiplicity 8)
Bi (0.000, 0.000, 0.000) (multiplicity 4)
S (0.000, 0.000, 0.500) (multiplicity 4)


6.
Here is a geometry-optimized U4Pd12Pt structure from Alexandria. Energies are from PBE.

- VASP energy: -239.8 eV/cell
- Energy of formation from the pure elements: -0.38 eV/atom
- Total magnetic moment: 9.5 μB/f.u.

abc: 8.546 8.546 8.546
angles: 90.00 90.00 90.00
Space group Im-3m (No. 229)
Asymmetric unit:
U (0.250, 0.250, 0.250) (multiplicity 8)
Pd (0.000, 0.000, 0.301) (multiplicity 12)
Pd (0.000, 0.250, 0.500) (multiplicity 12)
Pt (0.000, 0.000, 0.000) (multiplicity 2)


7.
Here is a geometry-optimized Na2AgO structure from Alexandria. Energies are from PBE.

- VASP energy: -38.2 eV/cell
- E_form (uncorrected): -0.569 eV per atom
- Total magnetic moment: 0.3 μB/f.u.

abc: 3.3181 3.3181 25.8396
angles: 90.00 90.00 120.00
Space group R-3m (No. 166, hexagonal axes)
Asymmetric unit:
Na (0.0000, 0.0000, 0.1216) (multiplicity 6)
Ag (0.0000, 0.0000, 0.0000) (multiplicity 3)
O (0.0000, 0.0000, 0.5000) (multiplicity 3)


8.
Here is a geometry-optimized Ti2TlHg structure from Alexandria. Energies are from PBE.

- VASP energy: -67.8 eV/cell
- Energy of formation from the pure elements: 0.38 eV/atom
- Total magnetic moment: 0.0 μB/f.u.

abc: 7.580 7.580 5.942
angles: 90.00 90.00 90.00
Space group I-42d (No. 122)
Asymmetric unit:
Ti (0.243, 0.250, 0.125) (multiplicity 8)
Tl (0.000, 0.000, 0.500) (multiplicity 4)
Hg (0.000, 0.000, 0.000) (multiplicity 4)